Entry 1:
{"formula": "Ta2ZnW", "functional": "PBE-GGA", "state": "relaxed", "cell": [[3.5925, 0.0000, 0.0000], [0.0000, 4.4848, 0.0000], [0.0000, 0.0000, 8.3763]], "species": ["Ta", "Ta", "Ta", "Ta", "Zn", "Zn", "W", "W"], "frac_coords": [[0.0000, 0.0000, 0.2444], [0.0000, 0.0000, 0.7556], [0.5000, 0.5000, 0.2556], [0.5000, 0.5000, 0.7444], [0.0000, 0.5000, 0.0000], [0.5000, 0.0000, 0.5000], [0.0000, 0.5000, 0.5000], [0.5000, 0.0000, 0.0000]], "volume_a3_per_cell": 135.0, "formation_enthalpy_0k_ev_per_atom": 0.14, "magnetic_moment_mub_per_fu": 0.00}


Entry 2:
{"formula": "Sc2Nb2Ni15", "functional": "PBE-GGA", "state": "relaxed", "cell": [[4.1361, 2.3880, 4.1139], [-4.1361, 2.3880, 4.1139], [0.0000, -4.7760, 4.1139]], "species": ["Sc", "Sc", "Nb", "Nb", "Ni", "Ni", "Ni", "Ni", "Ni", "Ni", "Ni", "Ni", "Ni", "Ni", "Ni", "Ni", "Ni", "Ni", "Ni"], "frac_coords": [[0.1498, 0.1498, 0.1498], [0.8502, 0.8502, 0.8502], [0.3971, 0.3971, 0.3971], [0.6029, 0.6029, 0.6029], [0.0000, 0.5000, 0.5000], [0.1531, 0.1531, 0.6636], [0.1531, 0.6636, 0.1531], [0.1902, 0.5000, 0.8098], [0.1902, 0.8098, 0.5000], [0.3364, 0.8469, 0.8469], [0.5000, 0.0000, 0.5000], [0.5000, 0.1902, 0.8098], [0.5000, 0.5000, 0.0000], [0.5000, 0.8098, 0.1902], [0.6636, 0.1531, 0.1531], [0.8098, 0.1902, 0.5000], [0.8098, 0.5000, 0.1902], [0.8469, 0.3364, 0.8469], [0.8469, 0.8469, 0.3364]], "volume_a3_per_cell": 243.8, "formation_enthalpy_0k_ev_per_atom": -0.22, "magnetic_moment_mub_per_fu": 0.04}


Entry 3:
{"formula": "YMn2TcS", "functional": "PBE-GGA", "state": "relaxed", "cell": [[4.6768, 0.0000, 0.0000], [0.0000, 4.6768, 0.0000], [0.0000, 0.0000, 4.5769]], "species": ["Y", "Mn", "Mn", "Tc", "S"], "frac_coords": [[0.0000, 0.0000, 0.0000], [0.0000, 0.5000, 0.5000], [0.5000, 0.0000, 0.5000], [0.5000, 0.5000, 0.5000], [0.5000, 0.5000, 0.0000]], "volume_a3_per_cell": 100.1, "raw_formation_energy_ev_per_fu": 1.8, "magnetic_moment_mub_per_fu": 5.93}


Entry 4:
{"formula": "AlCu3Ge", "functional": "PBE-GGA", "state": "relaxed", "cell": [[4.5275, 0.0000, 0.0000], [0.0000, 4.5275, 0.0000], [0.0000, 0.0000, 4.5275]], "species": ["Al", "Cu", "Cu", "Cu", "Ge"], "frac_coords": [[0.0000, 0.0000, 0.0000], [0.0000, 0.5000, 0.5000], [0.5000, 0.0000, 0.5000], [0.5000, 0.5000, 0.0000], [0.5000, 0.5000, 0.5000]], "volume_a3_per_cell": 92.8, "formation_enthalpy_0k_ev_per_atom": 0.56, "magnetic_moment_mub_per_fu": 0.00}


Copy entry 3 word for word.
{"formula": "YMn2TcS", "functional": "PBE-GGA", "state": "relaxed", "cell": [[4.6768, 0.0000, 0.0000], [0.0000, 4.6768, 0.0000], [0.0000, 0.0000, 4.5769]], "species": ["Y", "Mn", "Mn", "Tc", "S"], "frac_coords": [[0.0000, 0.0000, 0.0000], [0.0000, 0.5000, 0.5000], [0.5000, 0.0000, 0.5000], [0.5000, 0.5000, 0.5000], [0.5000, 0.5000, 0.0000]], "volume_a3_per_cell": 100.1, "raw_formation_energy_ev_per_fu": 1.8, "magnetic_moment_mub_per_fu": 5.93}